No. 1
PBE-GGA Ce3Pu3In5, relaxed; M_tot = 19.7 μB per formula unit; electronic total energy = -0.246 hartree per atom; E_form = 80 meV per atom
1.0
-0.124 2.917 1.663
-0.513 -5.116 8.939
9.170 2.625 -3.920
Pu Ce In
3 3 5
Direct
0.500 0.833 0.000
0.500 0.167 0.167
0.500 0.000 0.833
0.000 0.000 0.625
0.000 0.625 0.000
0.000 0.375 0.375
0.500 0.353 0.000
0.500 0.333 0.667
0.500 0.000 0.353
0.500 0.647 0.647
0.500 0.667 0.333

=====

No. 2
PBE-GGA YWN3, relaxed; M_tot = 0.0 μB per formula unit; electronic total energy = -0.362 hartree per atom; formation energy (no corrections) = -0.9746 eV/atom
1.0
7.848 0.000 0.002
0.000 3.764 0.000
-1.909 0.000 5.128
N Y W
6 2 2
Direct
0.121 0.893 0.934
0.405 0.393 0.165
0.901 0.393 0.824
0.246 0.393 0.583
0.776 0.893 0.348
0.617 0.893 0.771
0.352 0.893 0.411
0.669 0.393 0.069
0.188 0.393 0.877
0.834 0.893 0.700

=====

No. 3
PBE-GGA Ba4Cd2Ag, relaxed; M_tot = 0.0 μB per formula unit; electronic total energy = -0.073 hartree per atom; E_form = -209 meV per atom; energy relative to the lowest polymorph listed for this composition = 0 meV/atom
1.0
-6.776 2.163 1.552
1.786 2.354 -6.653
0.298 -7.269 0.263
Ba Cd Ag
4 2 1
Direct
0.000 0.500 0.000
0.500 0.000 0.000
0.500 0.500 0.500
0.000 0.000 0.500
0.500 0.500 0.000
0.500 0.000 0.500
0.000 0.000 0.000

=====

No. 4
PBE-GGA Ac2MgGa4Cu3, relaxed; M_tot = 0.0 μB per formula unit; electronic total energy = -0.140 hartree per atom; E_form = -378 meV per atom
1.0
-1.077 -3.938 -1.722
1.760 -2.024 3.527
-9.418 0.416 4.938
Cu Ga Ac Mg
3 4 2 1
Direct
0.000 0.500 0.121
0.500 0.000 0.879
0.000 0.000 0.500
0.000 0.000 0.000
0.000 0.500 0.357
0.500 0.000 0.643
0.500 0.500 0.000
0.000 0.500 0.758
0.500 0.000 0.242
0.500 0.500 0.500

=====

No. 5
PBE-GGA YReIO2, relaxed; M_tot = 5.4 μB per formula unit; electronic total energy = -0.230 hartree per atom; formation energy (no corrections) = -0.1881 eV/atom; energy relative to the lowest polymorph listed for this composition = 369 meV/atom
1.0
-2.281 3.330 1.509
-2.474 -0.096 -3.527
-3.987 -4.048 2.906
O I Y Re
2 1 1 1
Direct
0.500 0.000 0.000
0.000 0.500 0.000
0.000 0.000 0.500
0.000 0.000 0.000
0.500 0.500 0.500

=====

No. 6
PBE-GGA Zr3U, relaxed; M_tot = 2.0 μB per formula unit; electronic total energy = -0.332 hartree per atom; E_form = 193 meV per atom; energy relative to the lowest polymorph listed for this composition = 7 meV/atom
1.0
3.042 0.000 0.000
0.000 5.711 0.000
-1.521 -2.855 5.291
Zr U
3 1
Direct
0.243 0.541 0.486
0.500 0.539 0.000
0.757 0.056 0.514
0.000 0.031 0.000

=====

No. 7
PBE-GGA Ca12Sb3N5, relaxed; M_tot = 0.0 μB per formula unit; electronic total energy = -0.175 hartree per atom; formation energy (no corrections) = -0.8556 eV/atom
1.0
13.807 0.000 0.000
-4.602 13.018 0.000
-4.602 -6.509 11.274
Ca N Sb
48 20 12
Direct
0.817 0.899 0.013
0.886 0.304 0.487
0.582 0.696 0.683
0.013 0.399 0.817
0.601 0.614 0.418
0.696 0.582 0.183
0.196 0.683 0.082
0.804 0.487 0.386
0.101 0.183 0.487
0.082 0.183 0.196
0.899 0.817 0.513
0.614 0.013 0.196
0.918 0.817 0.804
0.918 0.101 0.614
0.304 0.886 0.987
0.101 0.918 0.114
0.683 0.196 0.582
0.196 0.513 0.614
0.513 0.317 0.899
0.899 0.082 0.886
0.683 0.487 0.601
0.987 0.386 0.304
0.487 0.804 0.886
0.082 0.899 0.386
0.886 0.582 0.899
0.582 0.886 0.399
0.386 0.399 0.082
0.987 0.601 0.183
0.487 0.683 0.101
0.013 0.614 0.696
0.696 0.114 0.013
0.817 0.918 0.304
0.386 0.987 0.804
0.804 0.317 0.918
0.614 0.601 0.918
0.114 0.418 0.101
0.513 0.196 0.114
0.317 0.513 0.399
0.317 0.804 0.418
0.114 0.696 0.513
0.183 0.082 0.696
0.601 0.987 0.683
0.399 0.013 0.317
0.183 0.101 0.987
0.304 0.418 0.817
0.418 0.304 0.317
0.418 0.114 0.601
0.399 0.386 0.582
0.875 0.250 0.625
0.750 0.125 0.875
0.875 0.625 0.750
0.000 0.500 0.500
0.000 0.500 0.000
0.375 0.250 0.125
0.125 0.750 0.375
0.375 0.125 0.750
0.625 0.875 0.250
0.000 0.000 0.000
0.500 0.000 0.000
0.125 0.375 0.250
0.250 0.875 0.125
0.625 0.750 0.875
0.500 0.500 0.000
0.250 0.375 0.625
0.750 0.625 0.375
0.500 0.000 0.500
0.000 0.000 0.500
0.500 0.500 0.500
0.250 0.625 0.875
0.250 0.125 0.375
0.375 0.750 0.625
0.625 0.375 0.750
0.125 0.250 0.875
0.875 0.750 0.125
0.625 0.250 0.375
0.750 0.875 0.625
0.750 0.375 0.125
0.875 0.125 0.250
0.375 0.625 0.250
0.125 0.875 0.750

=====

No. 8
PBE-GGA TaRe3, relaxed; M_tot = 0.0 μB per formula unit; electronic total energy = -0.452 hartree per atom; E_form = 5 meV per atom
1.0
-2.181 -1.693 -3.507
2.070 -2.829 -2.762
-1.145 -4.313 -0.046
Ta Re
1 3
Direct
0.750 0.750 0.750
0.250 0.250 0.250
0.000 0.000 0.000
0.500 0.500 0.500

=====

No. 9
PBE-GGA Pu2AgPd, relaxed; M_tot = 11.8 μB per formula unit; electronic total energy = -0.343 hartree per atom; E_form = -152 meV per atom; energy relative to the lowest polymorph listed for this composition = 7 meV/atom
1.0
-0.783 2.633 -2.667
-0.267 -2.757 -2.643
-6.061 -0.574 1.212
Pd Pu Ag
1 2 1
Direct
0.500 0.500 0.000
0.000 0.000 0.762
0.000 0.000 0.238
0.500 0.500 0.500

=====

No. 10
PBE-GGA NaSnHPb2, relaxed; M_tot = 0.0 μB per formula unit; electronic total energy = -0.117 hartree per atom; energy relative to the lowest polymorph listed for this composition = 0 meV/atom
1.0
-0.899 -4.599 -1.806
0.178 -1.864 4.660
-4.663 0.727 0.469
Pb Sn H Na
2 1 1 1
Direct
0.500 0.000 0.000
0.000 0.500 0.000
0.500 0.500 0.500
0.000 0.000 0.000
0.000 0.000 0.500

=====

No. 11
PBE-GGA KBa2GeO, relaxed; M_tot = 0.6 μB per formula unit; electronic total energy = -0.145 hartree per atom; formation energy (no corrections) = -1.0452 eV/atom
1.0
5.429 0.000 0.000
0.000 5.429 0.000
0.000 0.000 5.261
K Ba O Ge
1 2 1 1
Direct
0.000 0.000 0.500
0.000 0.500 0.000
0.500 0.000 0.000
0.000 0.000 0.000
0.500 0.500 0.500

=====

No. 12
PBE-GGA Eu3BiF, relaxed; M_tot = 22.8 μB per formula unit; electronic total energy = -0.320 hartree per atom; formation energy (no corrections) = -1.3925 eV/atom
1.0
5.187 0.000 0.000
0.000 5.187 0.000
0.000 0.000 5.187
Eu Bi F
3 1 1
Direct
0.000 0.500 0.000
0.500 0.000 0.000
0.000 0.000 0.500
0.500 0.500 0.500
0.000 0.000 0.000

=====

No. 13
PBE-GGA Ni3AsC, relaxed; M_tot = 0.0 μB per formula unit; electronic total energy = -0.226 hartree per atom; E_form = 104 meV per atom; energy relative to the lowest polymorph listed for this composition = 0 meV/atom
1.0
3.835 0.000 0.000
0.000 3.835 0.000
0.000 0.000 3.835
C Ni As
1 3 1
Direct
0.000 0.000 0.000
0.000 0.500 0.000
0.000 0.000 0.500
0.500 0.000 0.000
0.500 0.500 0.500

=====

No. 14
PBE-GGA Pm6Nd3YTm2, relaxed; M_tot = 0.0 μB per formula unit; electronic total energy = -0.178 hartree per atom; E_form = 17 meV per atom
1.0
-0.581 -4.223 -4.630
5.697 2.113 1.638
-0.721 -8.043 8.852
Pm Y Tm Nd
6 1 2 3
Direct
0.252 0.252 0.755
0.918 0.583 0.755
0.583 0.918 0.755
0.082 0.417 0.245
0.748 0.748 0.245
0.417 0.082 0.245
0.000 0.000 0.000
0.333 0.667 0.000
0.667 0.333 0.000
0.833 0.167 0.500
0.167 0.833 0.500
0.500 0.500 0.500

=====

No. 15
PBE-GGA Al2ZnCd, relaxed; M_tot = 0.0 μB per formula unit; electronic total energy = -0.081 hartree per atom; E_form = 217 meV per atom; energy relative to the lowest polymorph listed for this composition = 161 meV/atom
1.0
-2.543 3.984 0.090
-1.350 1.849 4.136
1.956 4.018 1.544
Cd Al Zn
1 2 1
Direct
0.500 0.500 0.500
0.000 0.000 0.000
0.250 0.250 0.250
0.750 0.750 0.750

=====

No. 16
PBE-GGA K2Tl3Cd4Au, relaxed; M_tot = 0.0 μB per formula unit; electronic total energy = -0.062 hartree per atom; E_form = -70 meV per atom
1.0
4.907 0.000 0.000
0.000 4.907 0.000
0.000 0.000 12.677
Tl K Cd Au
3 2 4 1
Direct
0.500 0.000 0.860
0.000 0.500 0.140
0.000 0.000 0.500
0.000 0.500 0.741
0.500 0.000 0.259
0.000 0.000 0.000
0.000 0.500 0.373
0.500 0.000 0.627
0.500 0.500 0.000
0.500 0.500 0.500

=====

No. 17
PBE-GGA NaLi3Bi3, relaxed; M_tot = 0.0 μB per formula unit; electronic total energy = -0.095 hartree per atom; E_form = 93 meV per atom; energy relative to the lowest polymorph listed for this composition = 327 meV/atom
1.0
-1.646 -7.239 -1.842
6.472 -2.324 3.349
-3.729 -0.837 6.626
Li Bi Na
6 6 2
Direct
0.250 0.500 0.000
0.000 0.750 0.500
0.500 0.000 0.750
0.000 0.250 0.500
0.750 0.500 0.000
0.500 0.000 0.250
0.500 0.750 0.000
0.500 0.250 0.000
0.000 0.500 0.250
0.750 0.000 0.500
0.250 0.000 0.500
0.000 0.500 0.750
0.000 0.000 0.000
0.500 0.500 0.500

=====

No. 18
PBE-GGA NaIn2I2, relaxed; M_tot = 0.0 μB per formula unit; electronic total energy = -0.088 hartree per atom; formation energy (no corrections) = -0.4043 eV/atom; energy relative to the lowest polymorph listed for this composition = 122 meV/atom
1.0
-2.017 3.175 -7.444
-2.325 -7.575 -2.601
-5.057 0.943 1.773
In Na I
4 2 4
Direct
0.358 0.142 0.500
0.858 0.358 0.500
0.642 0.858 0.500
0.142 0.642 0.500
0.500 0.500 0.000
0.000 0.000 0.000
0.324 0.824 0.000
0.676 0.176 0.000
0.176 0.324 0.000
0.824 0.676 0.000

=====

No. 19
PBE-GGA BaLi2As2, relaxed; M_tot = 0.0 μB per formula unit; electronic total energy = -0.142 hartree per atom; E_form = -860 meV per atom; energy relative to the lowest polymorph listed for this composition = 0 meV/atom
1.0
4.572 0.000 0.000
0.000 4.572 0.000
2.286 2.286 5.380
Li As Ba
2 2 1
Direct
0.250 0.750 0.500
0.750 0.250 0.500
0.619 0.619 0.761
0.381 0.381 0.239
0.000 0.000 0.000

=====

No. 20
PBE-GGA Ba4NiAs4, relaxed; M_tot = 0.0 μB per formula unit; electronic total energy = -0.162 hartree per atom; E_form = -837 meV per atom
1.0
-0.432 6.634 -1.469
-8.273 0.453 4.476
4.459 2.069 8.033
As Ni Ba
8 2 8
Direct
0.820 0.215 0.000
0.320 0.500 0.285
0.680 0.715 0.500
0.680 0.285 0.500
0.320 0.500 0.715
0.820 0.785 0.000
0.180 0.000 0.215
0.180 0.000 0.785
0.500 0.500 0.500
0.000 0.000 0.000
0.320 0.731 0.000
0.680 0.000 0.731
0.180 0.769 0.500
0.820 0.500 0.231
0.320 0.269 0.000
0.820 0.500 0.769
0.680 0.000 0.269
0.180 0.231 0.500